## TaPSO2 (PBE)

Data for a relaxed structure of TaPSO2.

Summary:
* E_tot: -7.4516 eV per atom
* formation energy without anion corrections: -115 kJ/mol of atoms
* crystal system: tetragonal
* Fermi-level density of states: 2.2 states/eV per cell

Geometry as CIF:
```
data_TaPSO2
_symmetry_space_group_name_H-M 'P 4/m m m'
_symmetry_Int_Tables_number 123
_symmetry_space_group_name_Hall '-P 4 2'
_cell_length_a 3.813
_cell_length_b 3.813
_cell_length_c 5.562
_cell_angle_alpha 90.00
_cell_angle_beta 90.00
_cell_angle_gamma 90.00
loop_
_atom_site_label
_atom_site_fract_x
_atom_site_fract_y
_atom_site_fract_z
_atom_site_occupancy
Ta1 0.000 0.000 0.000 1
P1 0.000 0.000 0.500 1
S1 0.500 0.500 0.500 1
O1 0.000 0.500 0.000 1
```